[1]
# Na3Zn2Bi4, relaxed, DFT GGA-PBE
# Magnetization (Bohr magnetons per cell): 0.00
# Crystal system: monoclinic
# ΔH_f (0 K) (meV per atom): -180
# Mass density (g cm⁻³): 6.60
data_Na3Zn2Bi4
_chemical_formula_sum 'Na6 Zn4 Bi8'
_cell_length_a 13.054
_cell_length_b 4.535
_cell_length_c 8.987
_cell_angle_alpha 90.00
_cell_angle_beta 101.67
_cell_angle_gamma 90.00
_symmetry_space_group_name_H-M 'C 1 2/m 1'
_symmetry_Int_Tables_number 12
_symmetry_space_group_name_Hall '-C 2y'
loop_
_atom_site_label
_atom_site_type_symbol
_atom_site_fract_x
_atom_site_fract_y
_atom_site_fract_z
Na1 Na 0.000 0.000 0.000
Na2 Na 0.119 0.500 0.701
Zn1 Zn 0.225 0.500 0.401
Bi1 Bi 0.086 0.000 0.378
Bi2 Bi 0.194 0.500 0.082

=====

[2]
# Ac2YSbO8, relaxed, DFT GGA-PBE
# Uncorrected formation energy (eV per atom): -2.4470
# Magnetization (Bohr magnetons per cell): 0.00
# Crystal system: monoclinic
# Mass density (g cm⁻³): 7.13
data_Ac2YSbO8
_chemical_formula_sum 'Ac2 Y1 Sb1 O8'
_cell_length_a 4.544
_cell_length_b 7.243
_cell_length_c 5.620
_cell_angle_alpha 90.00
_cell_angle_beta 93.36
_cell_angle_gamma 90.00
_symmetry_space_group_name_H-M 'P 1 2/m 1'
_symmetry_Int_Tables_number 10
_symmetry_space_group_name_Hall '-P 2y'
loop_
_atom_site_label
_atom_site_type_symbol
_atom_site_fract_x
_atom_site_fract_y
_atom_site_fract_z
Ac1 Ac 0.000 0.247 0.000
Y1 Y 0.500 0.500 0.500
Sb1 Sb 0.500 0.000 0.500
O1 O 0.070 0.000 0.385
O2 O 0.083 0.500 0.254
O3 O 0.453 0.207 0.735

=====

[3]
# Ni3PdN, relaxed, DFT GGA-PBE
# Uncorrected formation energy (eV per atom): 0.5858
# Magnetization (Bohr magnetons per cell): 0.00
# Crystal system: orthorhombic
# Mass density (g cm⁻³): 5.63
data_Ni3PdN
_chemical_formula_sum 'Ni6 Pd2 N2'
_cell_length_a 3.501
_cell_length_b 4.938
_cell_length_c 10.110
_cell_angle_alpha 90.00
_cell_angle_beta 90.00
_cell_angle_gamma 90.00
_symmetry_space_group_name_H-M 'A m m 2'
_symmetry_Int_Tables_number 38
_symmetry_space_group_name_Hall 'A 2 -2'
loop_
_atom_site_label
_atom_site_type_symbol
_atom_site_fract_x
_atom_site_fract_y
_atom_site_fract_z
Ni1 Ni 0.000 0.000 0.000
Ni2 Ni 0.500 0.242 0.624
Pd1 Pd 0.000 0.000 0.752
N1 N 0.500 0.000 0.000

=====

[4]
# Y4HoTh5, relaxed, DFT GGA-PBE
# Magnetization (Bohr magnetons per cell): 0.00
# Crystal system: monoclinic
# ΔH_f (0 K) (meV per atom): 136
# Mass density (g cm⁻³): 8.57
data_Y4HoTh5
_chemical_formula_sum 'Y8 Ho2 Th10'
_cell_length_a 17.663
_cell_length_b 3.447
_cell_length_c 11.218
_cell_angle_alpha 90.00
_cell_angle_beta 107.41
_cell_angle_gamma 90.00
_symmetry_space_group_name_H-M 'C 1 2/m 1'
_symmetry_Int_Tables_number 12
_symmetry_space_group_name_Hall '-C 2y'
loop_
_atom_site_label
_atom_site_type_symbol
_atom_site_fract_x
_atom_site_fract_y
_atom_site_fract_z
Y1 Y 0.093 0.000 0.307
Y2 Y 0.197 0.500 0.591
Ho1 Ho 0.000 0.500 0.500
Th1 Th 0.000 0.500 0.000
Th2 Th 0.109 0.000 0.796
Th3 Th 0.198 0.000 0.093

=====

[5]
# ZnHgTe2, relaxed, DFT GGA-PBE
# Uncorrected formation energy (eV per atom): 0.1044
# Magnetization (Bohr magnetons per cell): 0.00
# Crystal system: orthorhombic
# Mass density (g cm⁻³): 7.65
data_ZnHgTe2
_chemical_formula_sum 'Zn4 Hg4 Te8'
_cell_length_a 4.146
_cell_length_b 24.407
_cell_length_c 4.471
_cell_angle_alpha 90.00
_cell_angle_beta 90.00
_cell_angle_gamma 90.00
_symmetry_space_group_name_H-M 'C m c m'
_symmetry_Int_Tables_number 63
_symmetry_space_group_name_Hall '-C 2c 2'
loop_
_atom_site_label
_atom_site_type_symbol
_atom_site_fract_x
_atom_site_fract_y
_atom_site_fract_z
Zn1 Zn 0.000 0.043 0.250
Hg1 Hg 0.000 0.455 0.250
Te1 Te 0.000 0.264 0.250
Te2 Te 0.000 0.377 0.750

=====

[6]
# CuTeRh2, relaxed, DFT GGA-PBE
# Uncorrected formation energy (eV per atom): 0.1312
# Magnetization (Bohr magnetons per cell): 0.00
# Crystal system: cubic
# Mass density (g cm⁻³): 10.39
data_CuTeRh2
_chemical_formula_sum 'Cu4 Te4 Rh8'
_cell_length_a 6.331
_cell_length_b 6.331
_cell_length_c 6.331
_cell_angle_alpha 90.00
_cell_angle_beta 90.00
_cell_angle_gamma 90.00
_symmetry_space_group_name_H-M 'F -4 3 m'
_symmetry_Int_Tables_number 216
_symmetry_space_group_name_Hall 'F -4 2 3'
loop_
_atom_site_label
_atom_site_type_symbol
_atom_site_fract_x
_atom_site_fract_y
_atom_site_fract_z
Cu1 Cu 0.000 0.000 0.000
Te1 Te 0.250 0.250 0.250
Rh1 Rh 0.000 0.000 0.500
Rh2 Rh 0.250 0.250 0.750

=====

[7]
# ZrTl2Rh, relaxed, DFT GGA-PBE
# Magnetization (Bohr magnetons per cell): 0.00
# Crystal system: monoclinic
# ΔH_f (0 K) (meV per atom): -168
# Mass density (g cm⁻³): 10.70
data_ZrTl2Rh
_chemical_formula_sum 'Zr1 Tl2 Rh1'
_cell_length_a 3.293
_cell_length_b 3.323
_cell_length_c 8.701
_cell_angle_alpha 90.00
_cell_angle_beta 100.76
_cell_angle_gamma 90.00
_symmetry_space_group_name_H-M 'P 1 m 1'
_symmetry_Int_Tables_number 6
_symmetry_space_group_name_Hall 'P -2y'
loop_
_atom_site_label
_atom_site_type_symbol
_atom_site_fract_x
_atom_site_fract_y
_atom_site_fract_z
Zr1 Zr 0.000 0.000 0.000
Tl1 Tl 0.188 0.000 0.397
Tl2 Tl 0.368 0.500 0.728
Rh1 Rh 0.579 0.500 0.158

=====

[8]
# Ti2SbRh2, relaxed, DFT GGA-PBE
# Uncorrected formation energy (eV per atom): -0.4410
# Magnetization (Bohr magnetons per cell): 0.00
# Crystal system: tetragonal
# Relative energy among the computed polymorphs (meV/atom): 181
# Mass density (g cm⁻³): 8.18
data_Ti2SbRh2
_chemical_formula_sum 'Ti4 Sb2 Rh4'
_cell_length_a 7.588
_cell_length_b 7.588
_cell_length_c 2.986
_cell_angle_alpha 90.00
_cell_angle_beta 90.00
_cell_angle_gamma 90.00
_symmetry_space_group_name_H-M 'P 4/m b m'
_symmetry_Int_Tables_number 127
_symmetry_space_group_name_Hall '-P 4 2ab'
loop_
_atom_site_label
_atom_site_type_symbol
_atom_site_fract_x
_atom_site_fract_y
_atom_site_fract_z
Ti1 Ti 0.151 0.349 0.000
Sb1 Sb 0.000 0.000 0.000
Rh1 Rh 0.136 0.636 0.500

=====

[9]
# Ca2Ho, relaxed, DFT GGA-PBE
# Magnetization (Bohr magnetons per cell): 0.00
# Crystal system: trigonal
# ΔH_f (0 K) (meV per atom): 143
# Relative energy among the computed polymorphs (meV/atom): 19
# Mass density (g cm⁻³): 3.70
data_Ca2Ho
_chemical_formula_sum 'Ca2 Ho1'
_cell_length_a 5.9795
_cell_length_b 5.9795
_cell_length_c 3.5493
_cell_angle_alpha 90.00
_cell_angle_beta 90.00
_cell_angle_gamma 120.00
_symmetry_space_group_name_H-M 'P -3 m 1'
_symmetry_Int_Tables_number 164
_symmetry_space_group_name_Hall '-P 3 2"'
loop_
_atom_site_label
_atom_site_type_symbol
_atom_site_fract_x
_atom_site_fract_y
_atom_site_fract_z
Ca1 Ca 0.3333 0.6667 0.3478
Ho1 Ho 0.0000 0.0000 0.0000

=====

[10]
# Cr2Cd, relaxed, DFT GGA-PBE
# Magnetization (Bohr magnetons per cell): 1.79
# Crystal system: monoclinic
# ΔH_f (0 K) (meV per atom): 518
# Mass density (g cm⁻³): 7.34
data_Cr2Cd
_chemical_formula_sum 'Cr8 Cd4'
_cell_length_a 10.580
_cell_length_b 2.964
_cell_length_c 6.382
_cell_angle_alpha 90.00
_cell_angle_beta 101.96
_cell_angle_gamma 90.00
_symmetry_space_group_name_H-M 'C 1 m 1'
_symmetry_Int_Tables_number 8
_symmetry_space_group_name_Hall 'C -2y'
loop_
_atom_site_label
_atom_site_type_symbol
_atom_site_fract_x
_atom_site_fract_y
_atom_site_fract_z
Cr1 Cr 0.000 0.000 0.000
Cr2 Cr 0.073 0.000 0.684
Cr3 Cr 0.216 0.500 0.931
Cr4 Cr 0.363 0.000 0.182
Cd1 Cd 0.147 0.500 0.339
Cd2 Cd 0.346 0.000 0.650

=====

[11]
# CrReOs3, relaxed, DFT GGA-PBE
# Magnetization (Bohr magnetons per cell): 0.00
# Crystal system: cubic
# ΔH_f (0 K) (meV per atom): 1968
# Relative energy among the computed polymorphs (meV/atom): 0
# Mass density (g cm⁻³): 16.10
data_CrReOs3
_chemical_formula_sum 'Cr1 Re1 Os3'
_cell_length_a 4.370
_cell_length_b 4.370
_cell_length_c 4.370
_cell_angle_alpha 90.00
_cell_angle_beta 90.00
_cell_angle_gamma 90.00
_symmetry_space_group_name_H-M 'P m -3 m'
_symmetry_Int_Tables_number 221
_symmetry_space_group_name_Hall '-P 4 2 3'
loop_
_atom_site_label
_atom_site_type_symbol
_atom_site_fract_x
_atom_site_fract_y
_atom_site_fract_z
Cr1 Cr 0.000 0.000 0.000
Re1 Re 0.500 0.500 0.500
Os1 Os 0.000 0.000 0.500

=====

[12]
# BaNi2W, relaxed, DFT GGA-PBE
# Magnetization (Bohr magnetons per cell): 0.00
# Crystal system: tetragonal
# ΔH_f (0 K) (meV per atom): 750
# Relative energy among the computed polymorphs (meV/atom): 487
# Mass density (g cm⁻³): 7.26
data_BaNi2W
_chemical_formula_sum 'Ba4 Ni8 W4'
_cell_length_a 5.076
_cell_length_b 5.076
_cell_length_c 15.563
_cell_angle_alpha 90.00
_cell_angle_beta 90.00
_cell_angle_gamma 90.00
_symmetry_space_group_name_H-M 'I 41/a m d'
_symmetry_Int_Tables_number 141
loop_
_symmetry_equiv_pos_as_xyz
'x,y,z'
'-x,-y,-z'
'-y+1/4,x+3/4,z+1/4'
'y+1/4,-x+3/4,-z+1/4'
'-x+1/2,-y,z+1/2'
'x+1/2,y,-z+1/2'
'y+1/4,-x+1/4,z+3/4'
'-y+1/4,x+1/4,-z+3/4'
'x,-y,-z'
'-x,y,z'
'-y+1/4,-x+1/4,-z+3/4'
'y+1/4,x+1/4,z+3/4'
'-x+1/2,y,-z+1/2'
'x+1/2,-y,z+1/2'
'y+1/4,x+3/4,-z+1/4'
'-y+1/4,-x+3/4,z+1/4'
'x+1/2,y+1/2,z+1/2'
'-x+1/2,-y+1/2,-z+1/2'
'-y+3/4,x+1/4,z+3/4'
'y+3/4,-x+1/4,-z+3/4'
'-x,-y+1/2,z'
'x,y+1/2,-z'
'y+3/4,-x+3/4,z+1/4'
'-y+3/4,x+3/4,-z+1/4'
'x+1/2,-y+1/2,-z+1/2'
'-x+1/2,y+1/2,z+1/2'
'-y+3/4,-x+3/4,-z+1/4'
'y+3/4,x+3/4,z+1/4'
'-x,y+1/2,-z'
'x,-y+1/2,z'
'y+3/4,x+1/4,-z+3/4'
'-y+3/4,-x+1/4,z+3/4'
loop_
_atom_site_label
_atom_site_type_symbol
_atom_site_fract_x
_atom_site_fract_y
_atom_site_fract_z
Ba1 Ba 0.000 0.250 0.375
Ni1 Ni 0.000 0.000 0.000
W1 W 0.000 0.250 0.875

=====

[13]
# AlTl2Cr, relaxed, DFT GGA-PBE
# Magnetization (Bohr magnetons per cell): 16.79
# Crystal system: cubic
# ΔH_f (0 K) (meV per atom): 565
# Relative energy among the computed polymorphs (meV/atom): 250
# Mass density (g cm⁻³): 8.70
data_AlTl2Cr
_chemical_formula_sum 'Al4 Tl8 Cr4'
_cell_length_a 7.194
_cell_length_b 7.194
_cell_length_c 7.194
_cell_angle_alpha 90.00
_cell_angle_beta 90.00
_cell_angle_gamma 90.00
_symmetry_space_group_name_H-M 'F -4 3 m'
_symmetry_Int_Tables_number 216
_symmetry_space_group_name_Hall 'F -4 2 3'
loop_
_atom_site_label
_atom_site_type_symbol
_atom_site_fract_x
_atom_site_fract_y
_atom_site_fract_z
Al1 Al 0.000 0.000 0.000
Tl1 Tl 0.000 0.000 0.500
Tl2 Tl 0.250 0.250 0.750
Cr1 Cr 0.250 0.250 0.250